A) ## Ge2BS (PBE)

Data for an optimized crystal structure of Ge2BS.

Computed properties:
Calculated density: 4.38 Mg/m³

Lattice parameters (Å, degrees): 5.360 5.360 6.243 64.58 64.58 90.00
Fractional positions:
S: 0.000 0.000 0.000
S: 0.750 0.250 0.500
B: 0.250 0.750 0.500
B: 0.500 0.500 0.000
Ge: 0.553 0.125 0.250
Ge: 0.875 0.803 0.750
Ge: 0.197 0.625 0.250
Ge: 0.375 0.447 0.750



B) ## Ge2BS (PBE)

Data for an optimized crystal structure of Ge2BS.

Computed properties:
Calculated density: 5.06 Mg/m³

Lattice parameters (Å, degrees): 4.437 4.437 4.437 60.00 60.00 60.00
Fractional positions:
Ge: 0.250 0.250 0.250
Ge: 0.750 0.750 0.750
B: 0.000 0.000 0.000
S: 0.500 0.500 0.500



Most stable structure: A)



A) ## GeBSb3 (PBE)

Data for an optimized crystal structure of GeBSb3.

Computed properties:
Calculated density: 4.90 Mg/m³

Lattice parameters (Å, degrees): 5.339 5.339 5.339 90.00 90.00 90.00
Fractional positions:
Sb: 0.000 0.000 0.500
Sb: 0.000 0.500 0.000
Sb: 0.500 0.000 0.000
B: 0.500 0.500 0.500
Ge: 0.000 0.000 0.000



B) ## GeBSb3 (PBE)

Data for an optimized crystal structure of GeBSb3.

Computed properties:
Calculated density: 6.52 Mg/m³

Lattice parameters (Å, degrees): 4.854 4.854 4.854 90.00 90.00 90.00
Fractional positions:
Sb: 0.000 0.500 0.000
Sb: 0.500 0.000 0.000
Sb: 0.000 0.000 0.500
Ge: 0.500 0.500 0.500
B: 0.000 0.000 0.000



Most stable structure: B)